Material: MnAsPdF2
Method: DFT, GGA+U
State: relaxed Values from VASP.

Quantum ESPRESSO input file:
```
&SYSTEM
  ibrav = 0, nat = 5, ntyp = 4
/
ATOMIC_SPECIES
Mn 54.94 Mn.upf
As 74.92 As.upf
Pd 106.42 Pd.upf
F 19.00 F.upf
CELL_PARAMETERS angstrom
3.8086 0.0000 0.0000
0.0000 3.8086 0.0000
0.0000 0.0000 6.3644
ATOMIC_POSITIONS crystal
Mn 0.0000 0.0000 0.0000
As 0.5000 0.5000 0.5000
Pd 0.0000 0.0000 0.5000
F 0.0000 0.5000 0.0000
F 0.5000 0.0000 0.0000
```

**SG**: No. 123
**Size of the total moment**: 0.916 μB per atom
**Uncorrected energy**: -5.3839 eV/atom
**N(E_F)**: 2.3 states/eV/f.u.